Entry 1:
Pa3Al2Co7 after structural relaxation. Source: the Alexandria database, functional PBE-GGA. Values from VASP.

Quantum ESPRESSO input file:
```
&SYSTEM
  ibrav = 0, nat = 12, ntyp = 3
/
ATOMIC_SPECIES
Co 58.93 Co.upf
Pa 231.04 Pa.upf
Al 26.98 Al.upf
ATOMIC_POSITIONS angstrom
Co -2.9031 0.4409 9.5607
Co -3.8915 0.5033 5.5104
Co -2.0710 1.2825 1.1692
Co 0.0000 0.0000 0.0000
Co -1.0826 1.2200 5.2195
Co -3.6521 3.0643 8.7921
Co -1.3220 -1.3409 1.9377
Pa -2.6755 -0.8671 -0.3523
Pa -3.4610 0.0182 3.4348
Pa -1.5131 1.7052 7.2950
Al -0.5909 0.6659 2.8489
Al -4.3831 1.0574 7.8809
CELL_PARAMETERS angstrom
-3.4245 1.7564 -1.1208
-1.9265 -3.4905 0.4163
0.3769 3.4575 11.4343
```

***

Entry 2:
TlHg2Bi2Pd7 after structural relaxation. Source: the Alexandria database, functional PBE-GGA. Values from VASP.

Quantum ESPRESSO input file:
```
&SYSTEM
  ibrav = 0, nat = 12, ntyp = 4
/
ATOMIC_SPECIES
Pd 106.42 Pd.upf
Hg 200.59 Hg.upf
Bi 208.98 Bi.upf
Tl 204.38 Tl.upf
ATOMIC_POSITIONS angstrom
Pd -0.4037 4.3715 2.2319
Pd -1.1534 1.5753 2.0213
Pd 9.6670 10.0660 2.5296
Pd 10.6076 8.3026 4.4406
Pd 5.3723 7.4383 4.2193
Pd 4.8316 5.2358 2.4531
Pd 0.5369 2.6081 4.1429
Hg 2.3557 3.7782 2.3268
Hg 7.8481 8.8959 4.3457
Bi 7.3679 6.3037 2.1902
Bi 2.8360 6.3703 4.4823
Tl 0.0000 0.0000 0.0000
CELL_PARAMETERS angstrom
-2.0939 3.3384 0.1106
-0.2129 -0.1878 3.9321
12.5106 9.5234 2.6298
```

***

Entry 3:
! PBE-GGA LiLa2ScO5, relaxed; values from VASP
! Energy relative to the elements, uncorrected   -3.15 eV/atom
&SYSTEM
  ibrav = 0, nat = 18, ntyp = 4
/
ATOMIC_SPECIES
O 16.00 O.upf
Li 6.94 Li.upf
La 138.91 La.upf
Sc 44.96 Sc.upf
ATOMIC_POSITIONS angstrom
O 4.4603 0.9674 5.7241
O 0.3777 4.1847 3.6155
O 0.3732 0.3824 0.4953
O 2.9789 2.2600 3.9106
O 3.3982 4.9514 4.5900
O 3.1464 3.4761 7.0975
O -0.3422 7.2607 2.8672
O 0.3610 0.6564 3.4025
O 1.3120 7.2290 4.9688
O 3.0225 -1.1973 3.7782
Li 1.4836 3.6121 4.9906
Li 3.1640 8.4801 4.4838
La 1.9433 5.8908 2.7910
La 1.9000 0.3313 5.3418
La 1.4229 2.3543 1.9372
La 2.7222 6.0706 6.6991
Sc 0.4401 8.8591 3.9488
Sc 4.1776 3.0156 5.4759
CELL_PARAMETERS angstrom
-2.8227 -0.1206 2.2199
5.5650 -1.6940 4.0764
1.2747 9.3044 2.1263

***

Number 1: size of the total moment 0.000 μB per cell, electronic total energy -0.5422 Ry/atom. Number 2: size of the total moment 0.000 μB per cell, electronic total energy -0.2966 Ry/atom. Number 3: size of the total moment 0.000 μB per cell, electronic total energy -0.5821 Ry/atom.